No. 1
{"formula": "Cs2LiMoI6", "functional": "PBE", "state": "optimized geometry", "mass_density_g_cm3": 4.47, "formation_energy_uncorrected_mev_per_atom": -931, "lattice_angstrom": [[4.172, 2.409, 13.914], [-4.172, 2.409, 13.914], [0.000, -4.818, 13.914]], "species": ["Cs", "Cs", "Cs", "Cs", "Li", "Li", "Mo", "Mo", "I", "I", "I", "I", "I", "I", "I", "I", "I", "I", "I", "I"], "frac_coords": [[0.123, 0.123, 0.123], [0.297, 0.297, 0.297], [0.703, 0.703, 0.703], [0.877, 0.877, 0.877], [0.420, 0.420, 0.420], [0.580, 0.580, 0.580], [0.000, 0.000, 0.000], [0.500, 0.500, 0.500], [0.142, 0.620, 0.620], [0.199, 0.199, 0.721], [0.199, 0.721, 0.199], [0.279, 0.801, 0.801], [0.380, 0.380, 0.858], [0.380, 0.858, 0.380], [0.620, 0.142, 0.620], [0.620, 0.620, 0.142], [0.721, 0.199, 0.199], [0.801, 0.279, 0.801], [0.801, 0.801, 0.279], [0.858, 0.380, 0.380]]}

No. 2
{"formula": "Cs2LiMoI6", "functional": "PBE", "state": "optimized geometry", "mass_density_g_cm3": 4.62, "formation_energy_uncorrected_mev_per_atom": -901, "lattice_angstrom": [[0.000, 5.880, 5.880], [5.880, 0.000, 5.880], [5.880, 5.880, 0.000]], "species": ["Cs", "Cs", "Li", "Mo", "I", "I", "I", "I", "I", "I"], "frac_coords": [[0.250, 0.250, 0.250], [0.750, 0.750, 0.750], [0.000, 0.000, 0.000], [0.500, 0.500, 0.500], [0.259, 0.259, 0.741], [0.259, 0.741, 0.259], [0.259, 0.741, 0.741], [0.741, 0.259, 0.259], [0.741, 0.259, 0.741], [0.741, 0.741, 0.259]]}

No. 3
{"formula": "CsNaLi2I4", "functional": "PBE", "state": "optimized geometry", "mass_density_g_cm3": 3.31, "formation_energy_uncorrected_mev_per_atom": -1238, "n_ef_per_ev_cell": 0.00, "lattice_angstrom": [[7.863, 0.000, 0.000], [0.000, 7.863, 0.000], [0.000, 0.000, 10.993]], "species": ["Cs", "Cs", "Na", "Na", "Li", "Li", "Li", "Li", "I", "I", "I", "I", "I", "I", "I", "I"], "frac_coords": [[0.000, 0.000, 0.000], [0.500, 0.500, 0.500], [0.000, 0.000, 0.500], [0.500, 0.500, 0.000], [0.000, 0.500, 0.250], [0.000, 0.500, 0.750], [0.500, 0.000, 0.250], [0.500, 0.000, 0.750], [0.211, 0.211, 0.320], [0.211, 0.789, 0.680], [0.289, 0.289, 0.820], [0.289, 0.711, 0.180], [0.711, 0.289, 0.180], [0.711, 0.711, 0.820], [0.789, 0.211, 0.680], [0.789, 0.789, 0.320]]}

Q: What is the formula in the third record?
A: CsNaLi2I4